1.
# TaCd2Rh, single point on PBEsol structure, DFT meta-GGA SCAN
data_TaCd2Rh
_chemical_formula_sum 'Ta4 Cd8 Rh4'
_symmetry_space_group_name_H-M 'F m -3 m'
_symmetry_Int_Tables_number 225
_symmetry_space_group_name_Hall '-F 4 2 3'
_cell_length_a 6.463
_cell_length_b 6.463
_cell_length_c 6.463
_cell_angle_alpha 90.00
_cell_angle_beta 90.00
_cell_angle_gamma 90.00
loop_
_atom_site_label
_atom_site_type_symbol
_atom_site_fract_x
_atom_site_fract_y
_atom_site_fract_z
_atom_site_occupancy
Ta1 Ta 0.000 0.000 0.000 1
Cd1 Cd 0.250 0.250 0.250 1
Rh1 Rh 0.000 0.000 0.500 1
# * electronic total energy: -39.95 eV per atom
# * formation energy: 1.39 eV/f.u.
# * magnetic moment: 0.00 μB per cell

---

2.
# TaCdRh2, single point on PBEsol structure, DFT meta-GGA SCAN
data_TaCdRh2
_chemical_formula_sum 'Ta1 Cd1 Rh2'
_symmetry_space_group_name_H-M 'P m m m'
_symmetry_Int_Tables_number 47
_symmetry_space_group_name_Hall '-P 2 2'
_cell_length_a 3.013
_cell_length_b 3.422
_cell_length_c 6.117
_cell_angle_alpha 90.00
_cell_angle_beta 90.00
_cell_angle_gamma 90.00
loop_
_atom_site_label
_atom_site_type_symbol
_atom_site_fract_x
_atom_site_fract_y
_atom_site_fract_z
_atom_site_occupancy
Ta1 Ta 0.000 0.000 0.000 1
Cd1 Cd 0.000 0.000 0.500 1
Rh1 Rh 0.500 0.500 0.232 1
# * electronic total energy: -41.61 eV per atom
# * formation energy: -1.90 eV/f.u.
# * magnetic moment: 0.00 μB per cell

---

3.
# TaCdRh2, single point on PBEsol structure, DFT meta-GGA SCAN
data_TaCdRh2
_chemical_formula_sum 'Ta2 Cd2 Rh4'
_symmetry_space_group_name_H-M 'I m m 2'
_symmetry_Int_Tables_number 44
_symmetry_space_group_name_Hall 'I 2 -2'
_cell_length_a 3.748
_cell_length_b 3.823
_cell_length_c 8.604
_cell_angle_alpha 90.00
_cell_angle_beta 90.00
_cell_angle_gamma 90.00
loop_
_atom_site_label
_atom_site_type_symbol
_atom_site_fract_x
_atom_site_fract_y
_atom_site_fract_z
_atom_site_occupancy
Ta1 Ta 0.000 0.000 0.000 1
Cd1 Cd 0.000 0.500 0.751 1
Rh1 Rh 0.000 0.000 0.502 1
Rh2 Rh 0.000 0.500 0.254 1
# * electronic total energy: -41.42 eV per atom
# * formation energy: -1.15 eV/f.u.
# * magnetic moment: 0.00 μB per cell

---

4.
# TaCd2Rh, single point on PBEsol structure, DFT meta-GGA SCAN
data_TaCd2Rh
_chemical_formula_sum 'Ta1 Cd2 Rh1'
_symmetry_space_group_name_H-M 'P m m m'
_symmetry_Int_Tables_number 47
_symmetry_space_group_name_Hall '-P 2 2'
_cell_length_a 3.040
_cell_length_b 4.632
_cell_length_c 4.900
_cell_angle_alpha 90.00
_cell_angle_beta 90.00
_cell_angle_gamma 90.00
loop_
_atom_site_label
_atom_site_type_symbol
_atom_site_fract_x
_atom_site_fract_y
_atom_site_fract_z
_atom_site_occupancy
Ta1 Ta 0.000 0.000 0.000 1
Cd1 Cd 0.000 0.500 0.500 1
Cd2 Cd 0.500 0.000 0.500 1
Rh1 Rh 0.500 0.500 0.000 1
# * electronic total energy: -40.20 eV per atom
# * formation energy: 0.40 eV/f.u.
# * magnetic moment: 0.00 μB per cell

---

5.
# TaCdRh2, single point on PBEsol structure, DFT meta-GGA SCAN
data_TaCdRh2
_chemical_formula_sum 'Ta2 Cd2 Rh4'
_symmetry_space_group_name_H-M 'I 4/m m m'
_symmetry_Int_Tables_number 139
_symmetry_space_group_name_Hall '-I 4 2'
_cell_length_a 4.166
_cell_length_b 4.166
_cell_length_c 7.113
_cell_angle_alpha 90.00
_cell_angle_beta 90.00
_cell_angle_gamma 90.00
loop_
_atom_site_label
_atom_site_type_symbol
_atom_site_fract_x
_atom_site_fract_y
_atom_site_fract_z
_atom_site_occupancy
Ta1 Ta 0.000 0.000 0.000 1
Cd1 Cd 0.000 0.000 0.500 1
Rh1 Rh 0.000 0.500 0.250 1
# * electronic total energy: -41.58 eV per atom
# * formation energy: -1.77 eV/f.u.
# * magnetic moment: 0.00 μB per cell

---

6.
# TbCdRh2, single point on PBEsol structure, DFT meta-GGA SCAN
data_TbCdRh2
_chemical_formula_sum 'Tb4 Cd4 Rh8'
_symmetry_space_group_name_H-M 'F m -3 m'
_symmetry_Int_Tables_number 225
_symmetry_space_group_name_Hall '-F 4 2 3'
_cell_length_a 6.524
_cell_length_b 6.524
_cell_length_c 6.524
_cell_angle_alpha 90.00
_cell_angle_beta 90.00
_cell_angle_gamma 90.00
loop_
_atom_site_label
_atom_site_type_symbol
_atom_site_fract_x
_atom_site_fract_y
_atom_site_fract_z
_atom_site_occupancy
Tb1 Tb 0.000 0.000 0.000 1
Cd1 Cd 0.000 0.000 0.500 1
Rh1 Rh 0.250 0.250 0.250 1
# * electronic total energy: -36.79 eV per atom
# * formation energy: -2.46 eV/f.u.
# * magnetic moment: 0.00 μB per cell

---

7.
# Tb4CdRh, single point on PBEsol structure, DFT meta-GGA SCAN
data_Tb4CdRh
_chemical_formula_sum 'Tb64 Cd16 Rh16'
_symmetry_space_group_name_H-M 'F -4 3 m'
_symmetry_Int_Tables_number 216
_symmetry_space_group_name_Hall 'F -4 2 3'
_cell_length_a 13.388
_cell_length_b 13.388
_cell_length_c 13.388
_cell_angle_alpha 90.00
_cell_angle_beta 90.00
_cell_angle_gamma 90.00
loop_
_atom_site_label
_atom_site_type_symbol
_atom_site_fract_x
_atom_site_fract_y
_atom_site_fract_z
_atom_site_occupancy
Tb1 Tb 0.000 0.000 0.187 1
Tb2 Tb 0.060 0.250 0.250 1
Tb3 Tb 0.100 0.100 0.600 1
Cd1 Cd 0.169 0.169 0.831 1
Rh1 Rh 0.107 0.107 0.393 1
# * electronic total energy: -42.46 eV per atom
# * formation energy: -3.53 eV/f.u.
# * magnetic moment: 0.00 μB per cell

---

8.
# CdTc2Rh, single point on PBEsol structure, DFT meta-GGA SCAN
data_CdTc2Rh
_chemical_formula_sum 'Cd1 Tc2 Rh1'
_symmetry_space_group_name_H-M 'P m m 2'
_symmetry_Int_Tables_number 25
_symmetry_space_group_name_Hall 'P 2 -2'
_cell_length_a 2.735
_cell_length_b 3.855
_cell_length_c 5.686
_cell_angle_alpha 90.00
_cell_angle_beta 90.00
_cell_angle_gamma 90.00
loop_
_atom_site_label
_atom_site_type_symbol
_atom_site_fract_x
_atom_site_fract_y
_atom_site_fract_z
_atom_site_occupancy
Cd1 Cd 0.000 0.000 0.000 1
Tc1 Tc 0.000 0.000 0.505 1
Tc2 Tc 0.500 0.500 0.709 1
Rh1 Rh 0.500 0.500 0.257 1
# * electronic total energy: -33.40 eV per atom
# * formation energy: 0.69 eV/f.u.
# * magnetic moment: 0.00 μB per cell

---

9.
# Cd2TcRh, single point on PBEsol structure, DFT meta-GGA SCAN
data_Cd2TcRh
_chemical_formula_sum 'Cd4 Tc2 Rh2'
_symmetry_space_group_name_H-M 'C 1 2/m 1'
_symmetry_Int_Tables_number 12
_symmetry_space_group_name_Hall '-C 2y'
_cell_length_a 5.496
_cell_length_b 9.288
_cell_length_c 2.755
_cell_angle_alpha 90.00
_cell_angle_beta 113.26
_cell_angle_gamma 90.00
loop_
_atom_site_label
_atom_site_type_symbol
_atom_site_fract_x
_atom_site_fract_y
_atom_site_fract_z
_atom_site_occupancy
Cd1 Cd 0.250 0.250 0.000 1
Tc1 Tc 0.000 0.000 0.500 1
Rh1 Rh 0.000 0.500 0.500 1
# * electronic total energy: -32.09 eV per atom
# * formation energy: 1.31 eV/f.u.
# * magnetic moment: 1.99 μB per cell

---

10.
# Cd2TcRh, single point on PBEsol structure, DFT meta-GGA SCAN
data_Cd2TcRh
_chemical_formula_sum 'Cd8 Tc4 Rh4'
_symmetry_space_group_name_H-M 'F m -3 m'
_symmetry_Int_Tables_number 225
_symmetry_space_group_name_Hall '-F 4 2 3'
_cell_length_a 6.397
_cell_length_b 6.397
_cell_length_c 6.397
_cell_angle_alpha 90.00
_cell_angle_beta 90.00
_cell_angle_gamma 90.00
loop_
_atom_site_label
_atom_site_type_symbol
_atom_site_fract_x
_atom_site_fract_y
_atom_site_fract_z
_atom_site_occupancy
Cd1 Cd 0.250 0.250 0.250 1
Tc1 Tc 0.000 0.000 0.000 1
Rh1 Rh 0.000 0.000 0.500 1
# * electronic total energy: -32.08 eV per atom
# * formation energy: 1.33 eV/f.u.
# * magnetic moment: 10.86 μB per cell

---

11.
# CdTc2Rh, single point on PBEsol structure, DFT meta-GGA SCAN
data_CdTc2Rh
_chemical_formula_sum 'Cd3 Tc6 Rh3'
_symmetry_space_group_name_H-M 'R 3 m'
_symmetry_Int_Tables_number 160
_symmetry_space_group_name_Hall 'R 3 -2"'
_cell_length_a 2.7559
_cell_length_b 2.7559
_cell_length_c 27.2006
_cell_angle_alpha 90.00
_cell_angle_beta 90.00
_cell_angle_gamma 120.00
loop_
_atom_site_label
_atom_site_type_symbol
_atom_site_fract_x
_atom_site_fract_y
_atom_site_fract_z
_atom_site_occupancy
Cd1 Cd 0.0000 0.0000 0.0000 1
Tc1 Tc 0.0000 0.0000 0.5005 1
Tc2 Tc 0.0000 0.0000 0.7581 1
Rh1 Rh 0.0000 0.0000 0.2462 1
# * electronic total energy: -33.50 eV per atom
# * formation energy: 0.31 eV/f.u.
# * magnetic moment: 0.00 μB per cell

---

12.
# CdTc2Rh, single point on PBEsol structure, DFT meta-GGA SCAN
data_CdTc2Rh
_chemical_formula_sum 'Cd2 Tc4 Rh2'
_symmetry_space_group_name_H-M 'I m m 2'
_symmetry_Int_Tables_number 44
_symmetry_space_group_name_Hall 'I 2 -2'
_cell_length_a 3.093
_cell_length_b 4.575
_cell_length_c 8.680
_cell_angle_alpha 90.00
_cell_angle_beta 90.00
_cell_angle_gamma 90.00
loop_
_atom_site_label
_atom_site_type_symbol
_atom_site_fract_x
_atom_site_fract_y
_atom_site_fract_z
_atom_site_occupancy
Cd1 Cd 0.000 0.000 0.000 1
Tc1 Tc 0.000 0.000 0.520 1
Tc2 Tc 0.000 0.500 0.227 1
Rh1 Rh 0.000 0.500 0.769 1
# * electronic total energy: -33.26 eV per atom
# * formation energy: 1.28 eV/f.u.
# * magnetic moment: 0.00 μB per cell

---

13.
# CdTc2Rh, single point on PBEsol structure, DFT meta-GGA SCAN
data_CdTc2Rh
_chemical_formula_sum 'Cd1 Tc2 Rh1'
_symmetry_space_group_name_H-M 'P 4/m m m'
_symmetry_Int_Tables_number 123
_symmetry_space_group_name_Hall '-P 4 2'
_cell_length_a 3.715
_cell_length_b 3.715
_cell_length_c 4.314
_cell_angle_alpha 90.00
_cell_angle_beta 90.00
_cell_angle_gamma 90.00
loop_
_atom_site_label
_atom_site_type_symbol
_atom_site_fract_x
_atom_site_fract_y
_atom_site_fract_z
_atom_site_occupancy
Cd1 Cd 0.000 0.000 0.000 1
Tc1 Tc 0.000 0.500 0.500 1
Rh1 Rh 0.500 0.500 0.000 1
# * electronic total energy: -33.22 eV per atom
# * formation energy: 1.43 eV/f.u.
# * magnetic moment: 0.00 μB per cell

---

14.
# Cd2TcRh, single point on PBEsol structure, DFT meta-GGA SCAN
data_Cd2TcRh
_chemical_formula_sum 'Cd4 Tc2 Rh2'
_symmetry_space_group_name_H-M 'C m m m'
_symmetry_Int_Tables_number 65
_symmetry_space_group_name_Hall '-C 2 2'
_cell_length_a 5.607
_cell_length_b 8.350
_cell_length_c 2.757
_cell_angle_alpha 90.00
_cell_angle_beta 90.00
_cell_angle_gamma 90.00
loop_
_atom_site_label
_atom_site_type_symbol
_atom_site_fract_x
_atom_site_fract_y
_atom_site_fract_z
_atom_site_occupancy
Cd1 Cd 0.250 0.250 0.000 1
Tc1 Tc 0.000 0.000 0.500 1
Rh1 Rh 0.000 0.500 0.500 1
# * electronic total energy: -32.05 eV per atom
# * formation energy: 1.48 eV/f.u.
# * magnetic moment: 0.00 μB per cell